[1]
The following is a DFT calculation (PBE) of a geometry-optimized Y3Sb2H structure.

Calculated values
Total energy in eV per atom: -5.88

Unit cell a=6.1095 b=8.5854 c=7.1132 alpha=106.58 beta=115.43 gamma=90.00
Closest atoms and distances in Å follow each position.
Atoms (fractional coordinates):
Y1 0.8531 0.9145 0.6920  2 H 2.79-2.95, 4 Sb 3.01-3.07
Y2 0.5726 0.7500 0.0000  1 H 2.28
Y3 0.8389 0.4145 0.6920  2 H 2.79-2.95, 4 Sb 3.01-3.07
Y4 0.1469 0.0855 0.3080  2 H 2.79-2.95, 4 Sb 3.01-3.07
Y5 0.4274 0.2500 0.0000  1 H 2.28
Y6 0.1611 0.5855 0.3080  2 H 2.79-2.95, 4 Sb 3.01-3.07
Sb1 0.3340 0.9172 0.6548  6 Y 3.01-3.07
Sb2 0.3209 0.4172 0.6548  6 Y 3.01-3.07
Sb3 0.6660 0.0828 0.3452  6 Y 3.01-3.07
Sb4 0.6791 0.5828 0.3452  6 Y 3.01-3.07
H1 0.9463 0.7500 0.0000  1 Y 2.28
H2 0.0537 0.2500 0.0000  1 Y 2.28

[2]
The following is a DFT calculation (PBE) of a geometry-optimized Y5Sb2H2 structure.

Calculated values
Total energy in eV per atom: -5.80

Unit cell a=5.3774 b=6.7265 c=6.4748 alpha=104.75 beta=90.00 gamma=113.56
Closest atoms and distances in Å follow each position.
Atoms (fractional coordinates):
Y1 0.3299 0.6599 0.1248  1 H 2.21
Y2 0.1476 0.2953 0.5512  1 H 2.17
Y3 0.0000 0.0000 0.0000  2 H 2.27
Y4 0.6701 0.3401 0.8752  1 H 2.21
Y5 0.8524 0.7047 0.4488  1 H 2.17
H1 0.1606 0.3213 0.8928  3 Y 2.17-2.27
H2 0.8394 0.6787 0.1072  3 Y 2.17-2.27
Sb1 0.5928 0.1857 0.3079  7 Y 3.07-3.35
Sb2 0.4072 0.8143 0.6921  7 Y 3.07-3.35

[3]
The following is a DFT calculation (PBE) of a geometry-optimized Y5Sb4H structure.

Calculated values
Total energy in eV per atom: -6.11

Unit cell a=6.1484 b=7.4746 c=7.4746 alpha=80.26 beta=65.71 gamma=65.71
Closest atoms and distances in Å follow each position.
Atoms (fractional coordinates):
Sb1 0.2057 0.1981 0.3966  6 Y 3.01-3.09
Sb2 0.6023 0.6034 0.1981  6 Y 3.01-3.09
Sb3 0.4038 0.3966 0.8019  6 Y 3.01-3.09
Sb4 0.8004 0.8019 0.6034  6 Y 3.01-3.09
Y1 0.7003 0.2006 0.4055  5 Sb 3.01-3.09, 1 H 3.10
Y2 0.1058 0.5945 0.2006  5 Sb 3.01-3.09, 1 H 3.10
Y3 0.3064 0.7994 0.5945  5 Sb 3.01-3.09, 1 H 3.10
Y4 0.9010 0.4055 0.7994  5 Sb 3.01-3.09, 1 H 3.10
Y5 0.4259 0.0000 0.0000  1 H 2.26
H1 0.0587 0.0000 0.0000  1 Y 2.26

[4]
The following is a DFT calculation (PBE) of a geometry-optimized Y2Sb2H structure.

Calculated values
E above lowest polymorph in eV per formula unit: 0.91

Unit cell a=7.2831 b=7.2831 c=4.5883 alpha=90.00 beta=90.00 gamma=90.00
Closest atoms and distances in Å follow each position.
Atoms (fractional coordinates):
Sb1 0.8615 0.3615 0.5000  1 Sb 2.85, 2 Y 2.98
Sb2 0.3615 0.1385 0.5000  1 Sb 2.85, 2 Y 2.98
Sb3 0.6385 0.8615 0.5000  1 Sb 2.85, 2 Y 2.98
Sb4 0.1385 0.6385 0.5000  1 Sb 2.85, 2 Y 2.98
Y1 0.1762 0.3238 0.0000  2 H 2.68, 2 Sb 2.98
Y2 0.8238 0.6762 0.0000  2 H 2.68, 2 Sb 2.98
Y3 0.3238 0.8238 0.0000  2 H 2.68, 2 Sb 2.98
Y4 0.6762 0.1762 0.0000  2 H 2.68, 2 Sb 2.98
H1 0.0000 0.0000 0.0000  4 Y 2.68
H2 0.5000 0.5000 0.0000  4 Y 2.68

[5]
The following is a DFT calculation (PBE) of a geometry-optimized Y2SbH structure.

Calculated values
E above lowest polymorph in eV per formula unit: 0.00

Unit cell a=7.2495 b=7.3262 c=7.3083 alpha=90.00 beta=81.25 gamma=90.00
Closest atoms and distances in Å follow each position.
Atoms (fractional coordinates):
H1 0.5869 0.1708 0.5777  4 Y 2.24-2.34
H2 0.0869 0.3292 0.5777  4 Y 2.24-2.34
H3 0.4131 0.8292 0.4223  4 Y 2.24-2.34
H4 0.9131 0.6708 0.4223  4 Y 2.24-2.34
Sb1 0.2084 0.4182 0.1710  7 Y 3.02-3.23, 2 H 3.04-3.19
Sb2 0.2916 0.9182 0.8290  7 Y 3.02-3.23, 2 H 3.04-3.19
Sb3 0.7916 0.5818 0.8290  7 Y 3.02-3.23, 2 H 3.04-3.19
Sb4 0.7084 0.0818 0.1710  7 Y 3.02-3.23, 2 H 3.04-3.19
Y1 0.9906 0.7623 0.1282  1 H 2.24
Y2 0.8164 0.3663 0.4434  3 H 2.30-2.34
Y3 0.5094 0.2623 0.8718  1 H 2.24
Y4 0.6836 0.8663 0.5566  3 H 2.30-2.34
Y5 0.4906 0.7377 0.1282  1 H 2.24
Y6 0.3164 0.1337 0.4434  3 H 2.30-2.34
Y7 0.1836 0.6337 0.5566  3 H 2.30-2.34
Y8 0.0094 0.2377 0.8718  1 H 2.24

[6]
The following is a DFT calculation (PBE) of a geometry-optimized YSb2H structure.

Calculated values
E above lowest polymorph in eV per formula unit: 0.00

Unit cell a=6.9559 b=6.9559 c=6.0779 alpha=55.09 beta=55.09 gamma=90.00
Closest atoms and distances in Å follow each position.
Atoms (fractional coordinates):
Sb1 0.5200 0.1250 0.2500  2 H 2.20
Sb2 0.3750 0.4800 0.7500  2 H 2.20
Sb3 0.2300 0.6250 0.2500  2 H 2.20
Sb4 0.8750 0.7700 0.7500  2 H 2.20
H1 0.5000 0.5000 0.0000  4 Sb 2.20
H2 0.2500 0.7500 0.5000  4 Sb 2.20
Y1 0.7500 0.2500 0.5000  8 Sb 3.15-3.35
Y2 0.0000 0.0000 0.0000  8 Sb 3.15-3.35

[7]
The following is a DFT calculation (PBE) of a geometry-optimized YSbH2 structure.

Calculated values
E above lowest polymorph in eV per formula unit: 1.21

Unit cell a=4.4547 b=4.4547 c=7.2308 alpha=72.06 beta=72.06 gamma=90.00
Closest atoms and distances in Å follow each position.
Atoms (fractional coordinates):
Y1 0.2500 0.7500 0.5000  4 H 2.10
Y2 0.5000 0.5000 0.0000  4 H 2.10
H1 0.2144 0.6250 0.2500  2 Y 2.10
H2 0.5356 0.1250 0.2500  2 Y 2.10
H3 0.3750 0.4644 0.7500  2 Y 2.10
H4 0.8750 0.7856 0.7500  2 Y 2.10
Sb1 0.7500 0.2500 0.5000  4 H 2.48
Sb2 0.0000 0.0000 0.0000  4 H 2.48

[8]
The following is a DFT calculation (PBE) of a geometry-optimized Y4Sb3H2 structure.

Calculated values
Total energy in eV per atom: -5.87

Unit cell a=7.3558 b=7.8132 c=7.8132 alpha=77.54 beta=81.72 gamma=81.72
Closest atoms and distances in Å follow each position.
Atoms (fractional coordinates):
Y1 0.8864 0.7304 0.6051  2 H 2.39-2.41
Y2 0.3864 0.6051 0.7304  2 H 2.39-2.41
Y3 0.4906 0.9253 0.2856  2 H 2.29-2.40
Y4 0.6136 0.3949 0.2696  2 H 2.39-2.41
Y5 0.0094 0.7144 0.0747  2 H 2.29-2.40
Y6 0.1136 0.2696 0.3949  2 H 2.39-2.41
Y7 0.5094 0.0747 0.7144  2 H 2.29-2.40
Y8 0.9906 0.2856 0.9253  2 H 2.29-2.40
Sb1 0.3744 0.2688 0.0304  6 Y 3.03-3.20, 2 H 3.15-3.31
Sb2 0.1256 0.9696 0.7312  6 Y 3.03-3.20, 2 H 3.15-3.31
Sb3 0.6256 0.7312 0.9696  6 Y 3.03-3.20, 2 H 3.15-3.31
Sb4 0.2500 0.6208 0.3792  6 Y 3.03-3.10
Sb5 0.7500 0.3792 0.6208  6 Y 3.03-3.10
Sb6 0.8744 0.0304 0.2688  6 Y 3.03-3.20, 2 H 3.15-3.31
H1 0.4333 0.1699 0.4332  4 Y 2.29-2.41
H2 0.9333 0.4332 0.1699  4 Y 2.29-2.41
H3 0.0667 0.5668 0.8301  4 Y 2.29-2.41
H4 0.5667 0.8301 0.5668  4 Y 2.29-2.41

[9]
The following is a DFT calculation (PBE) of a geometry-optimized YSbH2 structure.

Calculated values
E above lowest polymorph in eV per formula unit: 0.00

Unit cell a=3.5004 b=6.2730 c=6.2041 alpha=90.00 beta=90.00 gamma=106.20
Closest atoms and distances in Å follow each position.
Atoms (fractional coordinates):
H1 0.6925 0.3851 0.4403  3 Y 2.14-2.16, 3 H 2.35-2.36
H2 0.6925 0.3851 0.0597  3 Y 2.14-2.16, 3 H 2.35-2.36
H3 0.3075 0.6149 0.9403  3 Y 2.14-2.16, 3 H 2.35-2.36
H4 0.3075 0.6149 0.5597  3 Y 2.14-2.16, 3 H 2.35-2.36
Sb1 0.0393 0.0786 0.7500  10 H 3.19-3.50, 3 Y 3.24-3.29, 4 Sb 3.24-3.50
Sb2 0.9607 0.9214 0.2500  10 H 3.19-3.50, 3 Y 3.24-3.29, 4 Sb 3.24-3.50
Y1 0.7703 0.5406 0.7500  6 H 2.14-2.16
Y2 0.2297 0.4594 0.2500  6 H 2.14-2.16

[10]
The following is a DFT calculation (PBE) of a geometry-optimized Y2Zr2Sb2H structure.

Calculated values
Total energy in eV per atom: -6.79

Unit cell a=4.3086 b=4.3086 c=8.8096 alpha=104.15 beta=104.15 gamma=90.00
Closest atoms and distances in Å follow each position.
Atoms (fractional coordinates):
Zr1 0.0000 0.5000 0.0000  2 H 2.15
Zr2 0.5000 0.0000 0.0000  2 H 2.15
Y1 0.1770 0.1770 0.3540  1 H 2.93, 5 Sb 3.13-3.15
Y2 0.8230 0.8230 0.6460  1 H 2.93, 5 Sb 3.13-3.15
Sb1 0.3676 0.3676 0.7352  4 Zr 3.07, 5 Y 3.13-3.15
Sb2 0.6324 0.6324 0.2648  4 Zr 3.07, 5 Y 3.13-3.15
H1 0.0000 0.0000 0.0000  4 Zr 2.15

[11]
The following is a DFT calculation (PBE) of a geometry-optimized ZnSbH2 structure.

Calculated values
E above lowest polymorph in eV per formula unit: 0.00

Unit cell a=7.0324 b=3.1496 c=9.1938 alpha=78.59 beta=95.16 gamma=116.65
Closest atoms and distances in Å follow each position.
Atoms (fractional coordinates):
H1 0.2475 0.0979 0.1195  1 H 0.75
H2 0.7531 0.7100 0.9438  1 H 0.75
H3 0.7525 0.9021 0.8805  1 H 0.75
H4 0.2469 0.2900 0.0562  1 H 0.75
Zn1 0.0000 0.5000 0.5000  2 Sb 2.59
Zn2 0.5000 0.0000 0.5000  2 Sb 2.59
Sb1 0.2505 0.8868 0.7103  2 Zn 2.59
Sb2 0.7495 0.1132 0.2897  2 Zn 2.59

[12]
The following is a DFT calculation (PBE) of a geometry-optimized ZnSbH structure.

Calculated values
E above lowest polymorph in eV per formula unit: 0.00

Unit cell a=4.5863 b=4.5872 c=8.6164 alpha=101.01 beta=92.14 gamma=119.88
Closest atoms and distances in Å follow each position.
Atoms (fractional coordinates):
Sb1 0.9812 0.5213 0.1394  3 Zn 2.65-2.67
Sb2 0.2165 0.9582 0.4729  3 Zn 2.65-2.67
H1 0.5799 0.7596 0.7645  1 H 0.75
H2 0.6444 0.7470 0.8434  1 H 0.75
Zn1 0.8733 0.2765 0.4475  3 Sb 2.65-2.67
Zn2 0.3244 0.2031 0.1649  3 Sb 2.65-2.67